Record 1
Material: Cd3AgHg
Method: DFT, PBE
State: optimized geometry

Unit cell a=3.100 b=9.622 c=8.258 alpha=90.00 beta=100.77 gamma=90.00
Sites, in units of the cell vectors:
Cd 0.109 0.250 0.218
Cd 0.336 0.029 0.674
Cd 0.336 0.471 0.674
Cd 0.664 0.529 0.326
Cd 0.664 0.971 0.326
Cd 0.891 0.750 0.782
Ag 0.237 0.750 0.472
Ag 0.763 0.250 0.528
Hg 0.000 0.000 0.000
Hg 0.000 0.500 0.000

Computed properties:
E_tot, eV/atom: -1.14
Space-group type: P2_1/m (11)
Excess energy over the best structure of this formula in the dataset, meV per atom: 21
Density, g cm⁻³: 8.861

---

Record 2
Material: Cd3AgHg2
Method: DFT, PBE
State: optimized geometry

Unit cell a=5.510 b=6.993 c=8.087 alpha=66.55 beta=83.15 gamma=70.46
Sites, in units of the cell vectors:
Cd 0.010 0.092 0.267
Cd 0.285 0.421 0.950
Cd 0.402 0.267 0.361
Cd 0.598 0.733 0.639
Cd 0.715 0.579 0.050
Cd 0.990 0.908 0.733
Ag 0.151 0.752 0.112
Ag 0.849 0.248 0.888
Hg 0.184 0.614 0.522
Hg 0.406 0.090 0.790
Hg 0.594 0.910 0.210
Hg 0.816 0.386 0.478

Computed properties:
E_tot, eV/atom: -1.01
Space-group type: P-1 (2)
Excess energy over the best structure of this formula in the dataset, meV per atom: 0
Density, g cm⁻³: 10.435

---

Record 3
Material: CdAg4Hg2
Method: DFT, PBE
State: optimized geometry

Unit cell a=5.729 b=7.229 c=7.928 alpha=64.96 beta=68.84 gamma=75.01
Sites, in units of the cell vectors:
Cd 0.000 0.000 0.000
Cd 0.199 0.763 0.543
Ag 0.158 0.585 0.278
Ag 0.486 0.908 0.126
Ag 0.590 0.295 0.131
Ag 0.637 0.497 0.393
Ag 0.729 0.857 0.426
Ag 0.782 0.051 0.693
Ag 0.878 0.433 0.702
Ag 0.918 0.627 0.971
Hg 0.043 0.205 0.261
Hg 0.315 0.160 0.548
Hg 0.355 0.333 0.831
Hg 0.454 0.721 0.859

Computed properties:
E_tot, eV/atom: -1.82
Space-group type: P1 (1)
Excess energy over the best structure of this formula in the dataset, meV per atom: 0
Density, g cm⁻³: 11.403

---

Record 4
Material: CdAg2Hg2
Method: DFT, PBE
State: optimized geometry

Unit cell a=4.035 b=4.035 c=14.322 alpha=90.00 beta=90.00 gamma=90.00
Sites, in units of the cell vectors:
Cd 0.000 0.000 0.000
Cd 0.500 0.500 0.500
Ag 0.000 0.000 0.406
Ag 0.000 0.000 0.594
Ag 0.500 0.500 0.094
Ag 0.500 0.500 0.906
Hg 0.000 0.500 0.250
Hg 0.000 0.500 0.750
Hg 0.500 0.000 0.250
Hg 0.500 0.000 0.750

Computed properties:
E_tot, eV/atom: -1.27
Space-group type: I4/mmm (139)
Excess energy over the best structure of this formula in the dataset, meV per atom: 131
Density, g cm⁻³: 10.387

---

Record 5
Material: Cd5AgHg2
Method: DFT, PBE
State: optimized geometry

Unit cell a=9.856 b=9.856 c=10.660 alpha=90.00 beta=90.00 gamma=152.54
Sites, in units of the cell vectors:
Cd 0.033 0.967 0.619
Cd 0.033 0.967 0.881
Cd 0.262 0.738 0.250
Cd 0.280 0.720 0.574
Cd 0.280 0.720 0.926
Cd 0.720 0.280 0.074
Cd 0.720 0.280 0.426
Cd 0.738 0.262 0.750
Cd 0.967 0.033 0.119
Cd 0.967 0.033 0.381
Ag 0.159 0.841 0.750
Ag 0.841 0.159 0.250
Hg 0.123 0.877 0.103
Hg 0.123 0.877 0.397
Hg 0.877 0.123 0.603
Hg 0.877 0.123 0.897

Computed properties:
E_tot, eV/atom: -0.85
Space-group type: Cmcm (63)
Excess energy over the best structure of this formula in the dataset, meV per atom: 137
Density, g cm⁻³: 7.448

---

Record 6
Material: Cd12Ag7Hg2
Method: DFT, PBE
State: optimized geometry

Unit cell a=12.883 b=12.883 c=3.012 alpha=90.00 beta=90.00 gamma=120.00
Sites, in units of the cell vectors:
Cd 0.052 0.257 0.000
Cd 0.123 0.712 0.500
Cd 0.205 0.948 0.000
Cd 0.288 0.411 0.500
Cd 0.414 0.156 0.500
Cd 0.502 0.403 0.000
Cd 0.589 0.877 0.500
Cd 0.597 0.098 0.000
Cd 0.742 0.586 0.500
Cd 0.743 0.795 0.000
Cd 0.844 0.258 0.500
Cd 0.902 0.498 0.000
Ag 0.097 0.478 0.500
Ag 0.233 0.187 0.000
Ag 0.381 0.903 0.500
Ag 0.522 0.619 0.500
Ag 0.667 0.333 0.500
Ag 0.813 0.046 0.000
Ag 0.954 0.767 0.000
Hg 0.000 0.000 0.500
Hg 0.333 0.667 0.000

Computed properties:
E_tot, eV/atom: -1.49
Space-group type: P-6 (174)
Density, g cm⁻³: 9.609

---

In eV/atom, the calculated formation energy values for the records above are, in order, 0.038, 0.021, 0.028, 0.174, 0.157, 0.010.
In μB/f.u., the size of the total moment values for the records above are, in order, 0.0, 0.0, 0.0, 0.0, 0.0, 0.0.